BePH3: optimized geometry, PBE.

Cell lengths 4.685, 5.569, 5.569 Å; angles 74.94, 84.99, 82.34 degrees
Element x y z (fractional)
Be (0.000, 0.000, 0.000)
Be (0.006, 0.227, 0.227)
P (0.111, 0.161, 0.610)
P (0.897, 0.622, 0.058)
H (0.217, 0.389, 0.610)
H (0.234, 0.074, 0.115)
H (0.389, 0.025, 0.600)
H (0.614, 0.648, 0.174)
H (0.772, 0.124, 0.141)
H (0.797, 0.626, 0.823)

Properties
**Density of states at the Fermi level**: 0.0 states/eV/f.u.
**V**: 13.882 A^3/atom
**Size of the total moment**: 0.0 μB/f.u.
**Final energy**: -39.481 eV/cell
**SG**: No. 1